(1)
Density functional theory data (PBEsol) for a relaxed LiCd2Co crystal.

Lattice parameters (Å, degrees): 3.9672 3.9672 18.2608 90.00 90.00 90.00
With the nearest neighbours (Å) after each atom.
Fractional coordinates of all 16 atoms:
Li: 0.0000 0.0000 0.0000  4 Cd 2.69, 4 Co 2.81
Li: 0.0000 0.5000 0.2500  4 Cd 2.69, 4 Co 2.81
Li: 0.5000 0.0000 0.7500  4 Cd 2.69, 4 Co 2.81
Li: 0.5000 0.5000 0.5000  4 Cd 2.69, 4 Co 2.81
Cd: 0.2431 0.2500 0.6250  2 Co 2.67, 2 Li 2.69, 4 Cd 2.77-2.84
Cd: 0.2500 0.7431 0.8750  2 Co 2.67, 2 Li 2.69, 4 Cd 2.77-2.84
Cd: 0.2500 0.7569 0.3750  2 Co 2.67, 2 Li 2.69, 4 Cd 2.77-2.84
Cd: 0.2569 0.2500 0.1250  2 Co 2.67, 2 Li 2.69, 4 Cd 2.77-2.84
Cd: 0.7431 0.7500 0.1250  2 Co 2.67, 2 Li 2.69, 4 Cd 2.77-2.84
Cd: 0.7500 0.2431 0.3750  2 Co 2.67, 2 Li 2.69, 4 Cd 2.77-2.84
Cd: 0.7500 0.2569 0.8750  2 Co 2.67, 2 Li 2.69, 4 Cd 2.77-2.84
Cd: 0.7569 0.7500 0.6250  2 Co 2.67, 2 Li 2.69, 4 Cd 2.77-2.84
Co: 0.0000 0.0000 0.5000  4 Cd 2.67, 4 Li 2.81
Co: 0.0000 0.5000 0.7500  4 Cd 2.67, 4 Li 2.81
Co: 0.5000 0.0000 0.2500  4 Cd 2.67, 4 Li 2.81
Co: 0.5000 0.5000 0.0000  4 Cd 2.67, 4 Li 2.81

Crystal system   tetragonal

(2)
Density functional theory data (PBEsol) for a relaxed LiCdCo2 crystal.

Lattice parameters (Å, degrees): 2.6462 2.6462 26.8492 90.00 90.00 120.00
With the nearest neighbours (Å) after each atom.
Fractional coordinates of all 12 atoms:
Li: 0.0000 0.0000 0.0000  6 Co 2.64, 6 Li 2.65
Li: 0.3333 0.6667 0.6667  6 Co 2.64, 6 Li 2.65
Li: 0.6667 0.3333 0.3333  6 Co 2.64, 6 Li 2.65
Cd: 0.0000 0.0000 0.5000  6 Cd 2.65, 6 Co 2.78
Cd: 0.3333 0.6667 0.1667  6 Cd 2.65, 6 Co 2.78
Cd: 0.6667 0.3333 0.8333  6 Cd 2.65, 6 Co 2.78
Co: 0.0000 0.0000 0.2533  3 Li 2.64, 6 Co 2.65, 3 Cd 2.78
Co: 0.0000 0.0000 0.7467  3 Li 2.64, 6 Co 2.65, 3 Cd 2.78
Co: 0.3333 0.6667 0.4134  3 Li 2.64, 6 Co 2.65, 3 Cd 2.78
Co: 0.3333 0.6667 0.9200  3 Li 2.64, 6 Co 2.65, 3 Cd 2.78
Co: 0.6667 0.3333 0.0800  3 Li 2.64, 6 Co 2.65, 3 Cd 2.78
Co: 0.6667 0.3333 0.5866  3 Li 2.64, 6 Co 2.65, 3 Cd 2.78

Crystal system   trigonal

(3)
Density functional theory data (PBEsol) for a relaxed MgCdCo3 crystal.

Lattice parameters (Å, degrees): 4.3049 4.3049 4.3049 90.00 90.00 90.00
With the nearest neighbours (Å) after each atom.
Fractional coordinates of all 5 atoms:
Mg: 0.0000 0.0000 0.0000  6 Co 2.15
Cd: 0.5000 0.5000 0.5000  12 Co 3.04
Co: 0.0000 0.0000 0.5000  2 Mg 2.15
Co: 0.0000 0.5000 0.0000  2 Mg 2.15
Co: 0.5000 0.0000 0.0000  2 Mg 2.15

Crystal system   cubic

(4)
Density functional theory data (PBEsol) for a relaxed MgCdCo2 crystal.

Lattice parameters (Å, degrees): 2.7675 2.7675 26.1470 90.00 90.00 120.00
With the nearest neighbours (Å) after each atom.
Fractional coordinates of all 12 atoms:
Mg: 0.0000 0.0000 0.0000  6 Co 2.66, 6 Mg 2.77
Mg: 0.3333 0.6667 0.6667  6 Co 2.66, 6 Mg 2.77
Mg: 0.6667 0.3333 0.3333  6 Co 2.66, 6 Mg 2.77
Cd: 0.0000 0.0000 0.5000  6 Co 2.74, 6 Cd 2.77
Cd: 0.3333 0.6667 0.1667  6 Co 2.74, 6 Cd 2.77
Cd: 0.6667 0.3333 0.8333  6 Co 2.74, 6 Cd 2.77
Co: 0.0000 0.0000 0.2518  3 Mg 2.66, 3 Cd 2.74, 6 Co 2.77
Co: 0.0000 0.0000 0.7482  3 Mg 2.66, 3 Cd 2.74, 6 Co 2.77
Co: 0.3333 0.6667 0.4149  3 Mg 2.66, 3 Cd 2.74, 6 Co 2.77
Co: 0.3333 0.6667 0.9184  3 Mg 2.66, 3 Cd 2.74, 6 Co 2.77
Co: 0.6667 0.3333 0.0816  3 Mg 2.66, 3 Cd 2.74, 6 Co 2.77
Co: 0.6667 0.3333 0.5851  3 Mg 2.66, 3 Cd 2.74, 6 Co 2.77

Crystal system   trigonal

In order of appearance, DFT total energy = -2.56, -4.23, -3.80, -4.20 eV per atom.
In order of appearance, size of the total moment = 5.01, 9.07, 3.90, 8.18 μB per cell.